This record from Alexandria describes a relaxed HfSc3Ge crystal. The functional is PBEsol.

Lattice parameters (Å, degrees): 5.0465 5.0465 5.0465 90.00 90.00 90.00
Element x y z (fractional)
Hf: 0.0000 0.0000 0.0000
Sc: 0.0000 0.0000 0.5000
Sc: 0.0000 0.5000 0.0000
Sc: 0.5000 0.0000 0.0000
Ge: 0.5000 0.5000 0.5000

The calculated formation energy comes out at 0.852 eV/atom. Its magnetization is 0.000 μB/atom.